! AcNd2ReO8, optimized geometry, DFT PBE-GGA; values from VASP
! - calculated volume (Å³/cell) = 197.3
! - total magnetization (μB per formula unit) = 0.00
! - formation energy from raw total energies (eV per atom) = -2.6802
! - symmetry = P2/m, No. 10
! - energy (eV per atom) = -8.160
&SYSTEM
  ibrav = 0, nat = 12, ntyp = 4
/
ATOMIC_SPECIES
Ac 227.00 Ac.upf
Nd 144.24 Nd.upf
Re 186.21 Re.upf
O 16.00 O.upf
CELL_PARAMETERS angstrom
5.243 0.000 0.000
0.000 7.173 0.000
-0.079 0.000 5.245
ATOMIC_POSITIONS crystal
Ac 0.000 0.000 0.000
Nd 0.500 0.253 0.500
Nd 0.500 0.747 0.500
Re 0.000 0.500 0.000
O 0.180 0.306 0.179
O 0.180 0.694 0.179
O 0.253 0.500 0.746
O 0.317 0.000 0.681
O 0.683 0.000 0.319
O 0.747 0.500 0.254
O 0.820 0.306 0.821
O 0.820 0.694 0.821

! Ac2RuI, optimized geometry, DFT PBE-GGA; values from VASP
! - calculated volume (Å³/cell) = 141.8
! - total magnetization (μB per formula unit) = 0.00
! - formation energy from raw total energies (eV per atom) = -0.6837
! - symmetry = R-3m, No. 166
! - energy (eV per atom) = -5.444
&SYSTEM
  ibrav = 0, nat = 4, ntyp = 3
/
ATOMIC_SPECIES
Ac 227.00 Ac.upf
Ru 101.07 Ru.upf
I 126.90 I.upf
CELL_PARAMETERS angstrom
2.181 1.259 8.606
-2.181 1.259 8.606
0.000 -2.519 8.606
ATOMIC_POSITIONS crystal
Ac 0.228 0.228 0.228
Ac 0.772 0.772 0.772
Ru 0.500 0.500 0.500
I 0.000 0.000 0.000

! TbPaNi2, optimized geometry, DFT PBE-GGA; values from VASP
! - ΔE_f (eV per atom) = -0.248
! - calculated volume (Å³/cell) = 83.3
! - total magnetization (μB per formula unit) = 0.00
! - symmetry = R-3m, No. 166
! - energy (eV per atom) = -6.671
&SYSTEM
  ibrav = 0, nat = 4, ntyp = 3
/
ATOMIC_SPECIES
Tb 158.93 Tb.upf
Pa 231.04 Pa.upf
Ni 58.69 Ni.upf
CELL_PARAMETERS angstrom
1.848 1.067 7.039
-1.848 1.067 7.039
0.000 -2.134 7.039
ATOMIC_POSITIONS crystal
Tb 0.000 0.000 0.000
Pa 0.500 0.500 0.500
Ni 0.242 0.242 0.242
Ni 0.758 0.758 0.758

! PrThTl2, optimized geometry, DFT PBE-GGA; values from VASP
! - ΔE_f (eV per atom) = -0.261
! - calculated volume (Å³/cell) = 118.5
! - total magnetization (μB per formula unit) = 0.00
! - symmetry = P4/mmm, No. 123
! - energy (eV per atom) = -4.494
&SYSTEM
  ibrav = 0, nat = 4, ntyp = 3
/
ATOMIC_SPECIES
Pr 140.91 Pr.upf
Th 232.04 Th.upf
Tl 204.38 Tl.upf
CELL_PARAMETERS angstrom
3.613 0.000 0.000
0.000 3.613 0.000
0.000 0.000 9.074
ATOMIC_POSITIONS crystal
Pr 0.000 0.000 0.000
Th 0.000 0.000 0.500
Tl 0.500 0.500 0.250
Tl 0.500 0.500 0.750

! Li8AgPb2, optimized geometry, DFT PBE-GGA; values from VASP
! - ΔE_f (eV per atom) = -0.238
! - calculated volume (Å³/cell) = 212.9
! - total magnetization (μB per formula unit) = 0.00
! - symmetry = C2/m, No. 12
! - energy (eV per atom) = -2.564
&SYSTEM
  ibrav = 0, nat = 11, ntyp = 3
/
ATOMIC_SPECIES
Li 6.94 Li.upf
Ag 107.87 Ag.upf
Pb 207.20 Pb.upf
CELL_PARAMETERS angstrom
7.732 -2.374 0.000
7.732 2.374 0.000
-2.600 0.000 5.799
ATOMIC_POSITIONS crystal
Li 0.000 0.000 0.231
Li 0.000 0.000 0.769
Li 0.177 0.177 0.678
Li 0.351 0.351 0.613
Li 0.352 0.352 0.088
Li 0.648 0.648 0.912
Li 0.649 0.649 0.387
Li 0.823 0.823 0.322
Ag 0.500 0.500 0.500
Pb 0.183 0.183 0.183
Pb 0.817 0.817 0.817

! YHo3Er2S6, optimized geometry, DFT PBE-GGA; values from VASP
! - calculated volume (Å³/cell) = 248.1
! - total magnetization (μB per formula unit) = 0.00
! - formation energy from raw total energies (eV per atom) = -1.9743
! - symmetry = C2/m, No. 12
! - energy (eV per atom) = -6.482
&SYSTEM
  ibrav = 0, nat = 12, ntyp = 4
/
ATOMIC_SPECIES
Y 88.91 Y.upf
Ho 164.93 Ho.upf
Er 167.26 Er.upf
S 32.06 S.upf
CELL_PARAMETERS angstrom
3.353 -5.835 0.000
3.353 5.835 0.000
-2.242 0.000 6.341
ATOMIC_POSITIONS crystal
Y 0.000 0.000 0.000
Ho 0.165 0.835 0.500
Ho 0.500 0.500 0.500
Ho 0.835 0.165 0.500
Er 0.334 0.666 0.000
Er 0.666 0.334 0.000
S 0.083 0.420 0.250
S 0.253 0.253 0.751
S 0.420 0.083 0.250
S 0.580 0.917 0.750
S 0.747 0.747 0.249
S 0.917 0.580 0.750

! Sc2Sn2P, optimized geometry, DFT PBE-GGA; values from VASP
! - ΔE_f (eV per atom) = -0.659
! - calculated volume (Å³/cell) = 223.7
! - total magnetization (μB per formula unit) = 0.00
! - symmetry = P4/mbm, No. 127
! - energy (eV per atom) = -5.875
&SYSTEM
  ibrav = 0, nat = 10, ntyp = 3
/
ATOMIC_SPECIES
Sc 44.96 Sc.upf
Sn 118.71 Sn.upf
P 30.97 P.upf
CELL_PARAMETERS angstrom
6.956 0.000 0.000
0.000 6.956 0.000
0.000 0.000 4.624
ATOMIC_POSITIONS crystal
Sc 0.168 0.332 0.000
Sc 0.332 0.832 0.000
Sc 0.668 0.168 0.000
Sc 0.832 0.668 0.000
Sn 0.150 0.650 0.500
Sn 0.350 0.150 0.500
Sn 0.650 0.850 0.500
Sn 0.850 0.350 0.500
P 0.000 0.000 0.000
P 0.500 0.500 0.000

! NaYC, optimized geometry, DFT PBE-GGA; values from VASP
! - ΔE_f (eV per atom) = 0.139
! - calculated volume (Å³/cell) = 134.7
! - total magnetization (μB per formula unit) = 0.00
! - symmetry = Pm, No. 6
! - energy (eV per atom) = -5.530
&SYSTEM
  ibrav = 0, nat = 6, ntyp = 3
/
ATOMIC_SPECIES
Na 22.99 Na.upf
Y 88.91 Y.upf
C 12.01 C.upf
CELL_PARAMETERS angstrom
3.332 0.000 0.000
0.000 5.270 0.000
-0.011 0.000 7.669
ATOMIC_POSITIONS crystal
Na 0.000 0.000 0.000
Na 0.497 0.500 0.236
Y 0.500 0.000 0.485
Y 0.501 0.500 0.738
C 0.000 0.368 0.510
C 0.000 0.632 0.510

! ScTi2Fe2, optimized geometry, DFT PBE-GGA; values from VASP
! - ΔE_f (eV per atom) = -0.120
! - calculated volume (Å³/cell) = 150.4
! - total magnetization (μB per formula unit) = 0.00
! - symmetry = P4/mbm, No. 127
! - energy (eV per atom) = -7.930
&SYSTEM
  ibrav = 0, nat = 10, ntyp = 3
/
ATOMIC_SPECIES
Sc 44.96 Sc.upf
Ti 47.87 Ti.upf
Fe 55.84 Fe.upf
CELL_PARAMETERS angstrom
7.117 0.000 0.000
0.000 7.117 0.000
0.000 0.000 2.968
ATOMIC_POSITIONS crystal
Sc 0.000 0.000 0.000
Sc 0.500 0.500 0.000
Ti 0.147 0.353 0.500
Ti 0.353 0.853 0.500
Ti 0.647 0.147 0.500
Ti 0.853 0.647 0.500
Fe 0.144 0.644 0.000
Fe 0.356 0.144 0.000
Fe 0.644 0.856 0.000
Fe 0.856 0.356 0.000

! Tc2HgPt, optimized geometry, DFT PBE-GGA; values from VASP
! - ΔE_f (eV per atom) = 0.876
! - calculated volume (Å³/cell) = 145.0
! - total magnetization (μB per formula unit) = 1.87
! - symmetry = I-42d, No. 122
! - energy (eV per atom) = -5.892
&SYSTEM
  ibrav = 0, nat = 8, ntyp = 3
/
ATOMIC_SPECIES
Tc 98.00 Tc.upf
Hg 200.59 Hg.upf
Pt 195.08 Pt.upf
CELL_PARAMETERS angstrom
-3.705 3.705 2.640
3.705 -3.705 2.640
3.705 3.705 -2.640
ATOMIC_POSITIONS crystal
Tc 0.101 0.625 0.976
Tc 0.375 0.351 0.476
Tc 0.649 0.125 0.024
Tc 0.875 0.899 0.524
Hg 0.250 0.750 0.500
Hg 0.500 0.500 0.000
Pt 0.000 0.000 0.000
Pt 0.750 0.250 0.500

! NaYMg2N, optimized geometry, DFT PBE-GGA; values from VASP
! - calculated volume (Å³/cell) = 111.9
! - total magnetization (μB per formula unit) = 0.00
! - formation energy from raw total energies (eV per atom) = 0.8832
! - symmetry = P4/mmm, No. 123
! - energy (eV per atom) = -2.976
&SYSTEM
  ibrav = 0, nat = 5, ntyp = 4
/
ATOMIC_SPECIES
Na 22.99 Na.upf
Y 88.91 Y.upf
Mg 24.30 Mg.upf
N 14.01 N.upf
CELL_PARAMETERS angstrom
5.109 0.000 0.000
0.000 5.109 0.000
0.000 0.000 4.287
ATOMIC_POSITIONS crystal
Na 0.000 0.000 0.000
Y 0.500 0.500 0.500
Mg 0.000 0.500 0.000
Mg 0.500 0.000 0.000
N 0.000 0.000 0.500

! MgTe4Se, optimized geometry, DFT PBE-GGA; values from VASP
! - calculated volume (Å³/cell) = 177.4
! - total magnetization (μB per formula unit) = 1.17
! - formation energy from raw total energies (eV per atom) = 0.3899
! - symmetry = F-43m, No. 216
! - energy (eV per atom) = -2.551
&SYSTEM
  ibrav = 0, nat = 6, ntyp = 3
/
ATOMIC_SPECIES
Mg 24.30 Mg.upf
Te 127.60 Te.upf
Se 78.96 Se.upf
CELL_PARAMETERS angstrom
0.000 4.459 4.459
4.459 0.000 4.459
4.459 4.459 0.000
ATOMIC_POSITIONS crystal
Mg 0.000 0.000 0.000
Te 0.376 0.376 0.376
Te 0.376 0.376 0.873
Te 0.376 0.873 0.376
Te 0.873 0.376 0.376
Se 0.750 0.750 0.750

> The highest total magnetization belongs to which entry?

Tc2HgPt

> Which of these has the highest calculated volume?

YHo3Er2S6